1.
# DyZrRuRh | the Alexandria database | GGA-PBE | relaxed
data_DyZrRuRh
_space_group_name_H-M_alt 'F -4 3 m'
_space_group_IT_number 216
_space_group_name_Hall 'F -4 2 3'
_cell_length_a 6.696
_cell_length_b 6.696
_cell_length_c 6.696
_cell_angle_alpha 90.00
_cell_angle_beta 90.00
_cell_angle_gamma 90.00
loop_
_atom_site_label
_atom_site_type_symbol
_atom_site_fract_x
_atom_site_fract_y
_atom_site_fract_z
_atom_site_occupancy
Dy1 Dy 0.000 0.000 0.000 1
Zr1 Zr 0.000 0.000 0.500 1
Ru1 Ru 0.250 0.250 0.250 1
Rh1 Rh 0.250 0.250 0.750 1
# magnetization: 0.00 Bohr magnetons per cell
# electronic total energy: -8.098 eV per atom
# density of states at the Fermi level: 10.05 states/eV/cell
# ΔH_f (0 K): -0.653 eV/atom

---

2.
# Dy4RhS3 | the Alexandria database | GGA-PBE | relaxed
data_Dy4RhS3
_space_group_name_H-M_alt 'C m m m'
_space_group_IT_number 65
_space_group_name_Hall '-C 2 2'
_cell_length_a 8.037
_cell_length_b 11.227
_cell_length_c 3.893
_cell_angle_alpha 90.00
_cell_angle_beta 90.00
_cell_angle_gamma 90.00
loop_
_atom_site_label
_atom_site_type_symbol
_atom_site_fract_x
_atom_site_fract_y
_atom_site_fract_z
_atom_site_occupancy
Dy1 Dy 0.000 0.247 0.000 1
Dy2 Dy 0.243 0.000 0.500 1
Rh1 Rh 0.000 0.000 0.000 1
S1 S 0.000 0.500 0.000 1
S2 S 0.250 0.250 0.500 1
# magnetization: 0.00 Bohr magnetons per cell
# electronic total energy: -6.418 eV per atom
# density of states at the Fermi level: 10.95 states/eV/cell
# formation energy from raw total energies: -1.650 eV per atom

---

3.
# DyRhS2 | the Alexandria database | GGA-PBE | relaxed
data_DyRhS2
_space_group_name_H-M_alt 'R -3 m'
_space_group_IT_number 166
_space_group_name_Hall '-R 3 2"'
_cell_length_a 3.6379
_cell_length_b 3.6379
_cell_length_c 23.1906
_cell_angle_alpha 90.00
_cell_angle_beta 90.00
_cell_angle_gamma 120.00
loop_
_atom_site_label
_atom_site_type_symbol
_atom_site_fract_x
_atom_site_fract_y
_atom_site_fract_z
_atom_site_occupancy
Dy1 Dy 0.0000 0.0000 0.0000 1
Rh1 Rh 0.0000 0.0000 0.5000 1
S1 S 0.0000 0.0000 0.1161 1
# magnetization: 0.00 Bohr magnetons per cell
# electronic total energy: -5.628 eV per atom
# density of states at the Fermi level: 3.25 states/eV/cell
# formation energy from raw total energies: -0.576 eV per atom